No. 1
First-principles (PBE-GGA) data for a relaxed structure of ReRu2Au, as listed in Alexandria via LeMat-Bulk.

M_tot = 0.00 μB/f.u.
Density of states at the Fermi level = 5.5 states/eV/f.u.
Energy relative to the lowest polymorph listed for this composition = 270 meV per atom
Calculated formation energy = 0.41 eV/atom

Cell: 3.9694 3.9694 3.7984 Å, 90.00 90.00 90.00°
Positions (direct):
1 Re 0.0000 0.0000 0.0000
2 Ru 0.0000 0.5000 0.5000
3 Ru 0.5000 0.0000 0.5000
4 Au 0.5000 0.5000 0.0000

=====

No. 2
First-principles (PBE-GGA) data for a relaxed structure of Ca3Ce4Te8, as listed in Alexandria via LeMat-Bulk.

M_tot = 4.96 μB/f.u.
Uncorrected formation energy = -1.45 eV/atom
Density of states at the Fermi level = 32.1 states/eV/f.u.

Cell: 9.0041 9.0041 9.0102 Å, 119.90 119.90 90.03°
Positions (direct):
1 Ca 0.0000 0.0000 0.0000
2 Ca 0.0000 0.5000 0.0000
3 Ca 0.5000 0.0000 0.0000
4 Ce 0.0000 0.5000 0.5000
5 Ce 0.5000 0.0000 0.5000
6 Ce 0.5000 0.5000 0.0000
7 Ce 0.5000 0.5000 0.5000
8 Te 0.2458 0.2458 0.4986
9 Te 0.2479 0.7521 0.0000
10 Te 0.2476 0.7524 0.5000
11 Te 0.2494 0.2494 0.9991
12 Te 0.7506 0.7506 0.0009
13 Te 0.7521 0.2479 0.0000
14 Te 0.7524 0.2476 0.5000
15 Te 0.7542 0.7542 0.5014

=====

No. 3
First-principles (PBE-GGA) data for a relaxed structure of Ce6C3BrF2, as listed in Alexandria via LeMat-Bulk.

M_tot = 2.59 μB/f.u.
Uncorrected formation energy = -1.19 eV/atom
Density of states at the Fermi level = 19.9 states/eV/f.u.

Cell: 8.6659 8.6659 7.8705 Å, 108.42 108.42 24.43°
Positions (direct):
1 Ce 0.0057 0.0057 0.2161
2 Ce 0.3199 0.3199 0.4316
3 Ce 0.3414 0.3414 0.8961
4 Ce 0.6586 0.6586 0.1039
5 Ce 0.6801 0.6801 0.5684
6 Ce 0.9943 0.9943 0.7839
7 C 0.1643 0.1643 0.3302
8 C 0.5000 0.5000 0.0000
9 C 0.8357 0.8357 0.6698
10 Br 0.5000 0.5000 0.5000
11 F 0.1765 0.1765 0.8485
12 F 0.8235 0.8235 0.1515

=====

No. 4
First-principles (PBE-GGA) data for a relaxed structure of TbGdSc2, as listed in Alexandria via LeMat-Bulk.

M_tot = 7.06 μB/f.u.
Density of states at the Fermi level = 6.1 states/eV/f.u.
Energy relative to the lowest polymorph listed for this composition = 27 meV per atom
Calculated formation energy = 0.08 eV/atom

Cell: 5.4161 5.4161 5.4161 Å, 60.00 60.00 60.00°
Positions (direct):
1 Tb 0.0000 0.0000 0.0000
2 Gd 0.5000 0.5000 0.5000
3 Sc 0.2500 0.2500 0.2500
4 Sc 0.7500 0.7500 0.7500

=====

No. 5
First-principles (PBE-GGA) data for a relaxed structure of CdIn2Ag, as listed in Alexandria via LeMat-Bulk.

M_tot = 0.00 μB/f.u.
Density of states at the Fermi level = 1.5 states/eV/f.u.
Calculated formation energy = 0.20 eV/atom

Cell: 4.8303 4.8303 13.8630 Å, 90.00 90.00 120.00°
Positions (direct):
1 Cd 0.3333 0.6667 0.2500
2 Cd 0.6667 0.3333 0.7500
3 In 0.3333 0.6667 0.0458
4 In 0.3333 0.6667 0.4542
5 In 0.6667 0.3333 0.5458
6 In 0.6667 0.3333 0.9542
7 Ag 0.0000 0.0000 0.0000
8 Ag 0.0000 0.0000 0.5000

=====

No. 6
First-principles (PBE-GGA) data for a relaxed structure of ErTmSc2, as listed in Alexandria via LeMat-Bulk.

M_tot = 0.00 μB/f.u.
Density of states at the Fermi level = 7.3 states/eV/f.u.
Energy relative to the lowest polymorph listed for this composition = 12 meV per atom
Calculated formation energy = 0.05 eV/atom

Cell: 4.8197 4.8197 4.6977 Å, 90.00 90.00 90.00°
Positions (direct):
1 Er 0.0000 0.0000 0.0000
2 Tm 0.5000 0.5000 0.0000
3 Sc 0.0000 0.5000 0.5000
4 Sc 0.5000 0.0000 0.5000

=====

No. 7
First-principles (PBE-GGA) data for a relaxed structure of BeIrBr, as listed in Alexandria via LeMat-Bulk.

M_tot = 0.00 μB/f.u.
Uncorrected formation energy = -0.06 eV/atom
Density of states at the Fermi level = 0.9 states/eV/f.u.
Energy relative to the lowest polymorph listed for this composition = 237 meV per atom

Cell: 3.9749 3.9751 8.4100 Å, 78.10 78.47 89.51°
Positions (direct):
1 Be 0.0000 0.0000 0.0000
2 Be 0.4931 0.5063 0.9998
3 Ir 0.0554 0.5641 0.8546
4 Ir 0.5498 0.0580 0.8756
5 Br 0.3291 0.8343 0.2094
6 Br 0.6921 0.2053 0.5797

=====

No. 8
First-principles (PBE-GGA) data for a relaxed structure of RbTe2IO, as listed in Alexandria via LeMat-Bulk.

M_tot = 0.20 μB/f.u.
Uncorrected formation energy = -0.36 eV/atom
Density of states at the Fermi level = 4.6 states/eV/f.u.
Energy relative to the lowest polymorph listed for this composition = 0 meV per atom

Cell: 4.6713 4.6713 8.1452 Å, 90.00 90.00 90.00°
Positions (direct):
1 Rb 0.0000 0.0000 0.0000
2 Te 0.0000 0.5000 0.5000
3 Te 0.5000 0.0000 0.5000
4 I 0.5000 0.5000 0.0000
5 O 0.5000 0.5000 0.5000

=====

No. 9
First-principles (PBE-GGA) data for a relaxed structure of Ca6AgHg2, as listed in Alexandria via LeMat-Bulk.

M_tot = 0.00 μB/f.u.
Density of states at the Fermi level = 7.8 states/eV/f.u.
Calculated formation energy = -0.30 eV/atom

Cell: 9.1516 9.1516 9.1516 Å, 112.95 111.45 104.15°
Positions (direct):
1 Ca 0.0547 0.2462 0.8085
2 Ca 0.1773 0.2777 0.4551
3 Ca 0.1773 0.7223 0.8996
4 Ca 0.3378 0.0420 0.7042
5 Ca 0.3378 0.6336 0.2958
6 Ca 0.4377 0.2462 0.1915
7 Ca 0.5623 0.7538 0.8085
8 Ca 0.6622 0.3664 0.7042
9 Ca 0.6622 0.9580 0.2958
10 Ca 0.8227 0.2777 0.1004
11 Ca 0.8227 0.7223 0.5449
12 Ca 0.9453 0.7538 0.1915
13 Ag 0.0000 0.0000 0.0000
14 Ag 0.5000 0.5000 0.0000
15 Hg 0.1365 0.6365 0.5000
16 Hg 0.3313 0.0000 0.3313
17 Hg 0.6687 0.0000 0.6687
18 Hg 0.8635 0.3635 0.5000

=====

No. 10
First-principles (PBE-GGA) data for a relaxed structure of Ca3SnCl8, as listed in Alexandria via LeMat-Bulk.

M_tot = 0.00 μB/f.u.
Uncorrected formation energy = -2.04 eV/atom
Density of states at the Fermi level = 0.0 states/eV/f.u.

Cell: 7.9526 7.9526 7.9925 Å, 116.68 116.68 63.52°
Positions (direct):
1 Ca 0.0000 0.0000 0.0000
2 Ca 0.0000 0.5000 0.5000
3 Ca 0.5000 0.0000 0.5000
4 Sn 0.5000 0.5000 0.0000
5 Cl 0.2316 0.7472 0.7549
6 Cl 0.2404 0.2404 0.2618
7 Cl 0.2527 0.2527 0.7296
8 Cl 0.2528 0.7684 0.2451
9 Cl 0.7472 0.2316 0.7549
10 Cl 0.7473 0.7473 0.2704
11 Cl 0.7596 0.7596 0.7382
12 Cl 0.7684 0.2528 0.2451

=====

No. 11
First-principles (PBE-GGA) data for a relaxed structure of Tb12H5Os3, as listed in Alexandria via LeMat-Bulk.

Calculated total energy = -5.58 eV per atom
M_tot = 0.00 μB/f.u.
Density of states at the Fermi level = 11.0 states/eV/f.u.

Cell: 13.1207 13.1207 13.1207 Å, 109.47 109.47 109.47°
Positions (direct):
1 Tb 0.0300 0.2181 0.1241
2 Tb 0.0300 0.3119 0.9059
3 Tb 0.0941 0.6241 0.4060
4 Tb 0.0940 0.7181 0.6881
5 Tb 0.0940 0.8759 0.4059
6 Tb 0.0941 0.9700 0.6881
7 Tb 0.1241 0.0300 0.2181
8 Tb 0.1241 0.5941 0.9060
9 Tb 0.1881 0.2181 0.5940
10 Tb 0.1881 0.4700 0.5941
11 Tb 0.2181 0.1241 0.0300
12 Tb 0.2181 0.5940 0.1881
13 Tb 0.2819 0.3119 0.9060
14 Tb 0.2819 0.4700 0.3759
15 Tb 0.3119 0.9059 0.0300
16 Tb 0.3119 0.9060 0.2819
17 Tb 0.3759 0.2819 0.4700
18 Tb 0.3759 0.5940 0.9059
19 Tb 0.4060 0.0941 0.6241
20 Tb 0.4059 0.0940 0.8759
21 Tb 0.4059 0.8119 0.5300
22 Tb 0.4060 0.8119 0.7819
23 Tb 0.4700 0.3759 0.2819
24 Tb 0.4700 0.5941 0.1881
25 Tb 0.5300 0.4059 0.8119
26 Tb 0.5300 0.6241 0.7181
27 Tb 0.5940 0.1881 0.2181
28 Tb 0.5941 0.1881 0.4700
29 Tb 0.5941 0.9060 0.1241
30 Tb 0.5940 0.9059 0.3759
31 Tb 0.6241 0.4060 0.0941
32 Tb 0.6241 0.7181 0.5300
33 Tb 0.6881 0.0940 0.7181
34 Tb 0.6881 0.0941 0.9700
35 Tb 0.7181 0.5300 0.6241
36 Tb 0.7181 0.6881 0.0940
37 Tb 0.7819 0.4060 0.8119
38 Tb 0.7819 0.8759 0.9700
39 Tb 0.8119 0.5300 0.4059
40 Tb 0.8119 0.7819 0.4060
41 Tb 0.8759 0.4059 0.0940
42 Tb 0.8759 0.9700 0.7819
43 Tb 0.9059 0.0300 0.3119
44 Tb 0.9060 0.1241 0.5941
45 Tb 0.9060 0.2819 0.3119
46 Tb 0.9059 0.3759 0.5940
47 Tb 0.9700 0.6881 0.0941
48 Tb 0.9700 0.7819 0.8759
49 H 0.0000 0.0000 0.0000
50 H 0.0000 0.0000 0.5000
51 H 0.0000 0.5000 0.0000
52 H 0.0000 0.5000 0.5000
53 H 0.1250 0.7500 0.8750
54 H 0.1250 0.8750 0.2500
55 H 0.2500 0.1250 0.8750
56 H 0.2500 0.6250 0.3750
57 H 0.3750 0.2500 0.6250
58 H 0.3750 0.6250 0.7500
59 H 0.5000 0.0000 0.0000
60 H 0.5000 0.0000 0.5000
61 H 0.5000 0.5000 0.0000
62 H 0.5000 0.5000 0.5000
63 H 0.6250 0.3750 0.2500
64 H 0.6250 0.7500 0.3750
65 H 0.7500 0.3750 0.6250
66 H 0.7500 0.8750 0.1250
67 H 0.8750 0.1250 0.7500
68 H 0.8750 0.2500 0.1250
69 Os 0.1250 0.2500 0.3750
70 Os 0.1250 0.3750 0.7500
71 Os 0.2500 0.3750 0.1250
72 Os 0.2500 0.8750 0.6250
73 Os 0.3750 0.1250 0.2500
74 Os 0.3750 0.7500 0.1250
75 Os 0.6250 0.2500 0.8750
76 Os 0.6250 0.8750 0.7500
77 Os 0.7500 0.1250 0.3750
78 Os 0.7500 0.6250 0.8750
79 Os 0.8750 0.6250 0.2500
80 Os 0.8750 0.7500 0.6250

=====

No. 12
First-principles (PBE-GGA) data for a relaxed structure of TlTcAs2Se, as listed in Alexandria via LeMat-Bulk.

M_tot = 3.82 μB/f.u.
Uncorrected formation energy = 1.32 eV/atom
Density of states at the Fermi level = 3.6 states/eV/f.u.
Energy relative to the lowest polymorph listed for this composition = 1084 meV per atom

Cell: 5.0062 5.0062 5.5418 Å, 90.00 90.00 90.00°
Positions (direct):
1 Tl 0.0000 0.0000 0.0000
2 Tc 0.5000 0.5000 0.0000
3 As 0.0000 0.5000 0.5000
4 As 0.5000 0.0000 0.5000
5 Se 0.0000 0.0000 0.5000

=====

No. 13
First-principles (PBE-GGA) data for a relaxed structure of CaAs2Pb, as listed in Alexandria via LeMat-Bulk.

M_tot = 0.00 μB/f.u.
Density of states at the Fermi level = 3.9 states/eV/f.u.
Calculated formation energy = -0.33 eV/atom

Cell: 7.7412 7.7412 7.7412 Å, 30.81 30.81 30.81°
Positions (direct):
1 Ca 0.0000 0.0000 0.0000
2 As 0.2478 0.2478 0.2478
3 As 0.7522 0.7522 0.7522
4 Pb 0.5000 0.5000 0.5000